Entry 1:
Below is a relaxed PAu4I crystal, with properties calculated at the GGA-PBE level.

The structure in CIF format:
```
data_PAu4I
_space_group_name_H-M_alt 'C 1 m 1'
_space_group_IT_number 8
_cell_length_a 11.080
_cell_length_b 11.112
_cell_length_c 4.946
_cell_angle_alpha 90.00
_cell_angle_beta 90.15
_cell_angle_gamma 90.00
loop_
_space_group_symop_operation_xyz
'x,y,z'
'x,-y,z'
'x+1/2,y+1/2,z'
'x+1/2,-y+1/2,z'
loop_
_atom_site_label
_atom_site_type_symbol
_atom_site_fract_x
_atom_site_fract_y
_atom_site_fract_z
P1 P 0.000 0.249 0.000
Au1 Au 0.113 0.363 0.700
Au2 Au 0.115 0.135 0.298
Au3 Au 0.385 0.364 0.703
Au4 Au 0.388 0.137 0.301
I1 I 0.249 0.500 0.337
I2 I 0.251 0.000 0.665
```

Properties
* E: -3.280 eV per atom
* crystal system: monoclinic
* calculated volume: 25.4 Å³ per atom

Entry 2:
Below is a relaxed P10Au7I crystal, with properties calculated at the GGA-PBE level.

The structure in CIF format:
```
data_P10Au7I
_space_group_name_H-M_alt 'P -3 1 m'
_space_group_IT_number 162
_space_group_name_Hall '-P 3 2'
_cell_length_a 6.2712
_cell_length_b 6.2712
_cell_length_c 11.2557
_cell_angle_alpha 90.00
_cell_angle_beta 90.00
_cell_angle_gamma 120.00
loop_
_atom_site_label
_atom_site_type_symbol
_atom_site_fract_x
_atom_site_fract_y
_atom_site_fract_z
P1 P 0.0000 0.3761 0.1990
P2 P 0.3333 0.6667 0.2919
Au1 Au 0.0000 0.0000 0.2244
Au2 Au 0.0000 0.5000 0.0000
Au3 Au 0.3333 0.6667 0.5000
I1 I 0.0000 0.0000 0.5000
```

Properties
* E: -4.503 eV per atom
* crystal system: trigonal
* calculated volume: 21.3 Å³ per atom

- Which value of E does entry 1 give?
  -3.280 eV per atom